No. 1
{
  "formula": "Rb2Ca2TcO6",
  "functional": "PBE",
  "state": "optimized geometry",
  "magnetic_moment_mub_per_fu": 1.01,
  "e_tot_ev_per_atom": -6.193,
  "formation_energy_uncorrected_kj_per_mol_atoms": -194,
  "rho_g_cm3": 3.9,
  "cell": [[-0.675, 5.700, -0.460], [-1.072, -2.518, 5.066], [6.815, -0.167, 0.242]],
  "species": ["Rb", "Rb", "Ca", "Ca", "Tc", "O", "O", "O", "O", "O", "O"],
  "frac_coords": [[0.831, 0.169, 0.000], [0.169, 0.831, 0.000], [0.336, 0.664, 0.500], [0.664, 0.336, 0.500], [0.000, 0.000, 0.500], [0.776, 0.776, 0.669], [0.052, 0.338, 0.666], [0.224, 0.224, 0.331], [0.338, 0.052, 0.666], [0.948, 0.662, 0.334], [0.662, 0.948, 0.334]]
}

No. 2
{
  "formula": "Rb3CaTe2O6",
  "functional": "PBE",
  "state": "optimized geometry",
  "magnetic_moment_mub_per_fu": 1.03,
  "e_tot_ev_per_atom": -5.003,
  "formation_energy_uncorrected_kj_per_mol_atoms": -154,
  "rho_g_cm3": 4.3,
  "cell": [[-5.462, 0.318, 2.962], [2.435, -5.538, -1.450], [3.549, -0.158, 6.560]],
  "species": ["Rb", "Rb", "Rb", "Ca", "Te", "Te", "O", "O", "O", "O", "O", "O"],
  "frac_coords": [[0.333, 0.667, 0.658], [0.667, 0.333, 0.342], [0.000, 0.000, 0.000], [0.000, 0.000, 0.500], [0.667, 0.333, 0.817], [0.333, 0.667, 0.183], [0.642, 0.821, 0.310], [0.179, 0.358, 0.310], [0.179, 0.821, 0.310], [0.821, 0.642, 0.690], [0.358, 0.179, 0.690], [0.821, 0.179, 0.690]]
}

No. 3
{
  "formula": "Rb2Ca2TeO6",
  "functional": "PBE",
  "state": "optimized geometry",
  "magnetic_moment_mub_per_fu": 0.00,
  "e_tot_ev_per_atom": -5.530,
  "formation_energy_uncorrected_kj_per_mol_atoms": -193,
  "rho_g_cm3": 4.0,
  "cell": [[5.835, 0.047, 0.044], [-2.844, 5.096, 0.044], [-1.078, -1.854, 6.571]],
  "species": ["Rb", "Rb", "Ca", "Ca", "Te", "O", "O", "O", "O", "O", "O"],
  "frac_coords": [[0.828, 0.172, 0.000], [0.172, 0.828, 0.000], [0.336, 0.664, 0.500], [0.664, 0.336, 0.500], [0.000, 0.000, 0.500], [0.780, 0.780, 0.667], [0.053, 0.340, 0.666], [0.220, 0.220, 0.333], [0.340, 0.053, 0.666], [0.947, 0.660, 0.334], [0.660, 0.947, 0.334]]
}

No. 4
{
  "formula": "Rb2CaTe2O6",
  "functional": "PBE",
  "state": "optimized geometry",
  "magnetic_moment_mub_per_fu": 0.00,
  "e_tot_ev_per_atom": -5.273,
  "formation_energy_uncorrected_kj_per_mol_atoms": -158,
  "rho_g_cm3": 4.1,
  "cell": [[6.413, 0.000, 0.000], [-3.206, 4.963, -0.044], [0.000, -2.744, 7.149]],
  "species": ["Rb", "Rb", "Ca", "Te", "Te", "O", "O", "O", "O", "O", "O"],
  "frac_coords": [[0.703, 0.407, 0.152], [0.297, 0.593, 0.848], [0.500, 0.000, 0.500], [0.910, 0.821, 0.754], [0.090, 0.179, 0.246], [0.747, 0.495, 0.532], [0.207, 0.951, 0.261], [0.257, 0.049, 0.739], [0.793, 0.049, 0.739], [0.743, 0.951, 0.261], [0.253, 0.505, 0.468]]
}

No. 5
{
  "formula": "Rb3CaTe2O9",
  "functional": "PBE",
  "state": "optimized geometry",
  "magnetic_moment_mub_per_fu": 0.87,
  "e_tot_ev_per_atom": -5.129,
  "formation_energy_uncorrected_kj_per_mol_atoms": -136,
  "rho_g_cm3": 5.1,
  "cell": [[-1.075, 4.429, -3.845], [-4.261, -1.767, 3.780], [2.387, 4.907, 4.984]],
  "species": ["Rb", "Rb", "Rb", "Ca", "Te", "Te", "O", "O", "O", "O", "O", "O", "O", "O", "O"],
  "frac_coords": [[0.333, 0.667, 0.661], [0.000, 0.000, 0.000], [0.667, 0.333, 0.339], [0.000, 0.000, 0.500], [0.333, 0.667, 0.166], [0.667, 0.333, 0.834], [0.821, 0.179, 0.695], [0.821, 0.641, 0.695], [0.359, 0.179, 0.695], [0.641, 0.821, 0.305], [0.179, 0.359, 0.305], [0.179, 0.821, 0.305], [0.500, 0.000, 0.000], [0.000, 0.500, 0.000], [0.500, 0.500, 0.000]]
}

No. 6
{
  "formula": "Rb2CaThO4",
  "functional": "PBE",
  "state": "optimized geometry",
  "magnetic_moment_mub_per_fu": 0.00,
  "e_tot_ev_per_atom": -6.516,
  "formation_energy_uncorrected_kj_per_mol_atoms": -253,
  "rho_g_cm3": 5.6,
  "cell": [[-0.411, -1.497, 3.347], [6.055, 0.931, 1.159], [-3.408, 5.623, 2.096]],
  "species": ["Rb", "Rb", "Ca", "Th", "O", "O", "O", "O"],
  "frac_coords": [[0.500, 0.000, 0.500], [0.000, 0.500, 0.500], [0.000, 0.000, 0.000], [0.500, 0.500, 0.000], [0.500, 0.244, 0.177], [0.500, 0.756, 0.823], [0.000, 0.285, 0.820], [0.000, 0.715, 0.180]]
}

No. 7
{
  "formula": "Rb2CaTiO4",
  "functional": "PBE",
  "state": "optimized geometry",
  "magnetic_moment_mub_per_fu": 0.00,
  "e_tot_ev_per_atom": -6.214,
  "formation_energy_uncorrected_kj_per_mol_atoms": -218,
  "rho_g_cm3": 2.7,
  "cell": [[5.794, 0.000, 0.000], [2.897, 6.281, 0.000], [2.897, 0.000, 11.027]],
  "species": ["Rb", "Rb", "Rb", "Rb", "Ca", "Ca", "Ti", "Ti", "O", "O", "O", "O", "O", "O", "O", "O"],
  "frac_coords": [[0.186, 0.000, 0.627], [0.814, 0.000, 0.373], [0.564, 0.500, 0.873], [0.936, 0.500, 0.127], [0.750, 0.500, 0.500], [0.000, 0.000, 0.000], [0.250, 0.500, 0.500], [0.500, 0.000, 0.000], [0.339, 0.828, 0.082], [0.248, 0.172, 0.918], [0.833, 0.828, 0.918], [0.580, 0.172, 0.082], [0.411, 0.672, 0.418], [0.502, 0.328, 0.582], [0.917, 0.672, 0.582], [0.170, 0.328, 0.418]]
}

No. 8
{
  "formula": "RbCaTlO3",
  "functional": "PBE",
  "state": "optimized geometry",
  "magnetic_moment_mub_per_fu": 0.00,
  "e_tot_ev_per_atom": -4.942,
  "formation_energy_uncorrected_kj_per_mol_atoms": -152,
  "rho_g_cm3": 6.1,
  "cell": [[3.668, 0.000, 0.000], [0.000, 6.305, -0.175], [0.000, -1.840, 8.990]],
  "species": ["Rb", "Rb", "Ca", "Ca", "Tl", "Tl", "O", "O", "O", "O", "O", "O"],
  "frac_coords": [[0.250, 0.354, 0.314], [0.750, 0.646, 0.686], [0.250, 0.758, 0.032], [0.750, 0.242, 0.968], [0.250, 0.131, 0.662], [0.750, 0.869, 0.338], [0.750, 0.025, 0.144], [0.250, 0.975, 0.856], [0.250, 0.805, 0.469], [0.750, 0.195, 0.531], [0.750, 0.575, 0.145], [0.250, 0.425, 0.855]]
}

No. 9
{
  "formula": "RbCaTl2O",
  "functional": "PBE",
  "state": "optimized geometry",
  "magnetic_moment_mub_per_fu": 0.00,
  "e_tot_ev_per_atom": -1.832,
  "formation_energy_uncorrected_kj_per_mol_atoms": 68,
  "rho_g_cm3": 3.4,
  "cell": [[5.940, 0.000, 0.000], [0.000, 7.671, 0.000], [0.000, 0.000, 5.940]],
  "species": ["O", "Tl", "Tl", "Ca", "Rb"],
  "frac_coords": [[0.500, 0.500, 0.500], [0.000, 0.000, 0.500], [0.500, 0.000, 0.000], [0.000, 0.000, 0.000], [0.000, 0.500, 0.000]]
}

No. 10
{
  "formula": "Rb2Ca2UO6",
  "functional": "PBE",
  "state": "optimized geometry",
  "magnetic_moment_mub_per_fu": 0.00,
  "e_tot_ev_per_atom": -7.011,
  "formation_energy_uncorrected_kj_per_mol_atoms": -264,
  "rho_g_cm3": 4.7,
  "cell": [[6.004, 0.033, 0.025], [-2.939, 5.236, 0.025], [-1.128, -1.939, 6.591]],
  "species": ["Rb", "Rb", "Ca", "Ca", "U", "O", "O", "O", "O", "O", "O"],
  "frac_coords": [[0.826, 0.174, 0.000], [0.174, 0.826, 0.000], [0.336, 0.664, 0.500], [0.664, 0.336, 0.500], [0.000, 0.000, 0.500], [0.767, 0.767, 0.668], [0.052, 0.356, 0.667], [0.233, 0.233, 0.332], [0.356, 0.052, 0.667], [0.948, 0.644, 0.333], [0.644, 0.948, 0.333]]
}

No. 11
{
  "formula": "Rb3Ca2UO6",
  "functional": "PBE",
  "state": "optimized geometry",
  "magnetic_moment_mub_per_fu": 1.00,
  "e_tot_ev_per_atom": -6.518,
  "formation_energy_uncorrected_kj_per_mol_atoms": -243,
  "rho_g_cm3": 5.2,
  "cell": [[-3.422, 4.970, -1.098], [-0.052, -2.589, 5.560], [6.118, 3.033, 0.347]],
  "species": ["Rb", "Rb", "Rb", "Ca", "Ca", "U", "O", "O", "O", "O", "O", "O"],
  "frac_coords": [[0.172, 0.828, 0.500], [0.828, 0.172, 0.500], [0.500, 0.500, 0.500], [0.334, 0.666, 0.000], [0.666, 0.334, 0.000], [0.000, 0.000, 0.000], [0.941, 0.638, 0.823], [0.757, 0.757, 0.179], [0.059, 0.362, 0.177], [0.638, 0.941, 0.823], [0.243, 0.243, 0.821], [0.362, 0.059, 0.177]]
}